Entry 1:
Below is a relaxed structure of CdCuBr2, with properties calculated at the PBE level.

abc: 3.654 4.988 6.787
angles: 72.88 90.00 90.00
Fractional positions:
Cd (0.000, 0.487, 0.573)
Cu (0.500, 0.828, 0.679)
Br (0.500, 0.245, 0.358)
Br (0.000, 0.940, 0.890)

## Properties
raw total energy = -2.37 eV/atom
SG = Pm (6)
DOS(E_F) = 1.152 states/eV/cell

***

Entry 2:
Below is a relaxed structure of AlRuW2, with properties calculated at the PBE level.

abc: 4.935 4.935 2.773
angles: 90.00 90.00 115.53
Fractional positions:
W (0.000, 0.000, 0.000)
Al (0.500, 0.000, 0.500)
Ru (0.000, 0.500, 0.500)
W (0.500, 0.500, 0.000)

## Properties
SG = Cmmm (65)
ΔE_f = 0.042 eV per atom
DOS(E_F) = 3.390 states/eV/cell

***

Entry 3:
Below is a relaxed structure of Be2SiRu5W2, with properties calculated at the PBE level.

abc: 2.955 9.288 9.288
angles: 90.00 90.00 90.00
Fractional positions:
Ru (0.500, 0.000, 0.500)
Ru (0.500, 0.795, 0.938)
Si (0.000, 0.000, 0.000)
W (0.000, 0.175, 0.325)
Ru (0.500, 0.562, 0.705)
Ru (0.500, 0.062, 0.795)
W (0.000, 0.825, 0.675)
Be (0.000, 0.374, 0.126)
Ru (0.500, 0.500, 0.000)
Be (0.000, 0.126, 0.626)
Ru (0.500, 0.438, 0.295)
W (0.000, 0.325, 0.825)
Ru (0.500, 0.938, 0.205)
Si (0.000, 0.500, 0.500)
Ru (0.500, 0.295, 0.562)
W (0.000, 0.675, 0.175)
Ru (0.500, 0.705, 0.438)
Ru (0.500, 0.205, 0.062)
Be (0.000, 0.874, 0.374)
Be (0.000, 0.626, 0.874)

## Properties
raw total energy = -8.83 eV/atom
SG = P4/mbm (127)
DOS(E_F) = 10.156 states/eV/cell

***

Entry 4:
Below is a relaxed structure of Tb2MgOsC, with properties calculated at the PBE level.

abc: 3.942 5.049 5.049
angles: 90.00 90.00 90.00
Fractional positions:
Tb (0.000, 0.000, 0.500)
C (0.000, 0.000, 0.000)
Os (0.500, 0.000, 0.000)
Tb (0.000, 0.500, 0.000)
Mg (0.500, 0.500, 0.500)

## Properties
SG = P4/mmm (123)
ΔE_f = -0.303 eV per atom
DOS(E_F) = 2.688 states/eV/cell

***

Entry 5:
Below is a relaxed structure of LaMg6Ag, with properties calculated at the PBE level.

abc: 4.983 4.983 9.482
angles: 74.76 74.76 60.00
Fractional positions:
Mg (0.632, 0.632, 0.104)
Mg (0.897, 0.897, 0.310)
La (0.500, 0.500, 0.500)
Ag (0.000, 0.000, 0.000)
Mg (0.753, 0.753, 0.740)
Mg (0.368, 0.368, 0.896)
Mg (0.247, 0.247, 0.260)
Mg (0.103, 0.103, 0.690)

## Properties
SG = R-3m (166)
ΔE_f = -0.079 eV per atom
DOS(E_F) = 5.213 states/eV/cell

***

Entry 6:
Below is a relaxed structure of Pm6ErMg2, with properties calculated at the PBE level.

abc: 3.513 8.547 10.246
angles: 77.99 80.13 78.14
Fractional positions:
Er (0.000, 0.000, 0.000)
Pm (0.951, 0.349, 0.749)
Pm (0.628, 0.298, 0.446)
Mg (0.349, 0.014, 0.289)
Mg (0.651, 0.986, 0.711)
Pm (0.228, 0.654, 0.889)
Pm (0.372, 0.702, 0.554)
Pm (0.772, 0.346, 0.111)
Pm (0.049, 0.651, 0.251)

## Properties
SG = C2/m (12)
ΔE_f = 0.112 eV per atom
DOS(E_F) = 14.143 states/eV/cell

***

Entry 7:
Below is a relaxed structure of Hg2I2Cl, with properties calculated at the PBE level.

abc: 5.585 5.585 7.027
angles: 66.58 66.58 90.00
Fractional positions:
Cl (0.000, 0.000, 0.000)
I (0.342, 0.342, 0.315)
Hg (0.750, 0.250, 0.500)
Hg (0.250, 0.750, 0.500)
I (0.658, 0.658, 0.685)

## Properties
raw total energy = -1.16 eV/atom
SG = I4/mmm (139)
DOS(E_F) = 1.546 states/eV/cell

***

Entry 8:
Below is a relaxed structure of Pr3Hg2Au, with properties calculated at the PBE level.

abc: 5.865 6.916 9.054
angles: 90.03 110.91 90.01
Fractional positions:
Pr (0.826, 0.998, 0.691)
Pr (0.825, 0.502, 0.691)
Au (0.847, 0.750, 0.004)
Au (0.153, 0.250, 0.996)
Hg (0.701, 0.250, 0.363)
Pr (0.174, 0.002, 0.309)
Hg (0.299, 0.750, 0.637)
Pr (0.346, 0.750, 0.997)
Pr (0.175, 0.498, 0.309)
Pr (0.654, 0.250, 0.003)
Hg (0.293, 0.250, 0.646)
Hg (0.707, 0.750, 0.354)

## Properties
SG = P2_1/m (11)
ΔE_f = -0.458 eV per atom
DOS(E_F) = 10.774 states/eV/cell